This record from OQMD describes an optimized crystal structure of Pr2Ag. The functional is PBE-GGA.

a = 13.024 Å, b = 13.024 Å, c = 13.024 Å
α = 90.00°, β = 90.00°, γ = 90.00°
Space group Fd-3m (No. 227, origin choice 2)
One atom of each set of equivalent atoms:
Pr1 0.000 0.000 0.000 [16 per cell]
Ag1 0.125 0.125 0.125 [8 per cell]

Values from the calculation:
Magnetization in μB per formula unit: 2.513



This record from OQMD describes an optimized crystal structure of K2PAu. The functional is PBE-GGA.

a = 6.317 Å, b = 9.869 Å, c = 7.404 Å
α = 90.00°, β = 90.00°, γ = 90.00°
Space group Amm2 (No. 38)
One atom of each set of equivalent atoms:
K1 0.000 0.173 0.000 [4 per cell]
K2 0.500 0.173 0.294 [4 per cell]
P1 0.000 0.000 0.400 [2 per cell]
P2 0.500 0.000 0.896 [2 per cell]
Au1 0.250 0.000 0.647 [4 per cell]



Record order is preserved below.
Energy: -6.71 -12.85 eV/f.u.